Density functional theory data (PBE) for a relaxed structure of ZrSiIF2.

a = 4.243 Å, b = 6.087 Å, c = 4.243 Å
α = 90.00°, β = 90.00°, γ = 90.00°
Site moments in Bohr magnetons follow the coordinates.
Positions (direct):
F  0.500  0.000  0.000  0.00
F  0.000  0.000  0.500  -0.01
Si  0.500  0.500  0.500  -0.09
Zr  0.000  0.000  0.000  0.75
I  0.000  0.500  0.000  -0.01

spin magnetization	0.71	Bohr magnetons per cell
uncorrected formation energy	-1.249	eV/atom
mass density	4.31	g/cm3
DOS at the Fermi energy	4.0	states/eV/cell
space-group type	P4/mmm
E_tot	-25.5	eV per cell